VASP calculation (PBE) on crystalline Li2LaMg9 at its relaxed geometry.

```
data_Li2LaMg9
_chemical_formula_sum 'Li2 La1 Mg9'
_space_group_name_H-M_alt 'P 6/m m m'
_space_group_IT_number 191
_space_group_name_Hall '-P 6 2'
_cell_length_a 9.9662
_cell_length_b 9.9662
_cell_length_c 3.2796
_cell_angle_alpha 90.00
_cell_angle_beta 90.00
_cell_angle_gamma 120.00
loop_
_atom_site_label
_atom_site_type_symbol
_atom_site_fract_x
_atom_site_fract_y
_atom_site_fract_z
_atom_site_occupancy
Li1 Li 0.3333 0.6667 0.0000 1
La1 La 0.0000 0.0000 0.0000 1
Mg1 Mg 0.0000 0.5000 0.0000 1
Mg2 Mg 0.1829 0.3659 0.5000 1
```

Output
N(E_F) = 6.183 states/eV/f.u.
crystal system = hexagonal
raw total energy = -1.968 eV/atom
distance to the lowest polymorph of the same formula = 23 meV/atom